No. 1
Density functional theory data (meta-GGA SCAN) for LaMgRh2 at its PBEsol-relaxed geometry.

Cell lengths 5.513, 5.513, 5.513 Å; angles 138.30, 138.30, 60.44 degrees
Atoms (fractional coordinates):
La 0.000 0.000 0.000
Mg 0.750 0.250 0.500
Rh 0.250 0.750 0.500
Rh 0.500 0.500 0.000

Properties
calculated formation energy = -0.43 eV per atom

No. 2
Density functional theory data (meta-GGA SCAN) for La2MgRh at its PBEsol-relaxed geometry.

Cell lengths 3.993, 3.802, 6.999 Å; angles 90.00, 99.07, 90.00 degrees
Atoms (fractional coordinates):
La 0.094 0.000 0.289
La 0.906 0.000 0.711
Mg 0.500 0.500 0.000
Rh 0.500 0.500 0.500

Properties
calculated formation energy = -0.46 eV per atom

No. 3
Density functional theory data (meta-GGA SCAN) for LaMgRh2 at its PBEsol-relaxed geometry.

Cell lengths 4.720, 4.720, 4.720 Å; angles 60.00, 60.00, 60.00 degrees
Atoms (fractional coordinates):
La 0.000 0.000 0.000
Mg 0.750 0.750 0.750
Rh 0.250 0.250 0.250
Rh 0.500 0.500 0.500

Properties
calculated formation energy = -0.15 eV per atom

No. 4
Density functional theory data (meta-GGA SCAN) for LaMgRu2 at its PBEsol-relaxed geometry.

Cell lengths 5.310, 5.310, 2.955 Å; angles 104.47, 104.47, 110.16 degrees
Atoms (fractional coordinates):
La 0.000 0.000 0.000
Mg 0.500 0.500 0.000
Ru 0.000 0.500 0.500
Ru 0.500 0.000 0.500

Properties
calculated formation energy = 0.20 eV per atom

No. 5
Density functional theory data (meta-GGA SCAN) for La2MgRu2 at its PBEsol-relaxed geometry.

Cell lengths 7.335, 7.335, 4.103 Å; angles 90.00, 90.00, 90.00 degrees
Atoms (fractional coordinates):
La 0.170 0.330 0.000
La 0.330 0.830 0.000
La 0.670 0.170 0.000
La 0.830 0.670 0.000
Mg 0.000 0.000 0.500
Mg 0.500 0.500 0.500
Ru 0.134 0.634 0.500
Ru 0.366 0.134 0.500
Ru 0.634 0.866 0.500
Ru 0.866 0.366 0.500

Properties
calculated formation energy = -0.14 eV per atom

Question: The highest calculated formation energy belongs to which entry?
Answer: LaMgRu2